(1)
Entry from Alexandria via LeMat-Bulk: crystalline YAlGa4 at its relaxed geometry (PBE-GGA).

extended XYZ file:
```
12
Lattice="5.181 0.000 0.000 0.000 5.181 0.000 -2.591 -2.591 9.911" Properties=species:S:1:pos:R:3 pbc="T T T"
Ga 2.591 1.267 2.160
Ga -1.323 0.000 7.751
Ga 1.323 0.000 7.751
Ga 1.323 2.591 7.116
Ga -1.323 2.591 7.116
Al 0.000 2.591 4.955
Ga 0.000 3.914 2.795
Ga 2.591 3.914 2.160
Ga 0.000 1.267 2.795
Al 2.591 2.591 0.000
Y 2.591 0.000 4.955
Y 0.000 0.000 0.000
```

Properties
**N(E_F)**: 0.46 states/eV/atom
**Crystal system**: tetragonal
**Magnetization**: 0.00 μB per formula unit
**Symmetry**: I4_1/amd (141)
**Total energy**: -3.7859 eV/atom

***

(2)
Entry from Alexandria via LeMat-Bulk: crystalline Y3Al7Ga4 at its relaxed geometry (PBE-GGA).

extended XYZ file:
```
14
Lattice="-3.407 -1.632 -1.793 2.870 -4.037 -6.654 0.426 -8.330 1.898" Properties=species:S:1:pos:R:3 pbc="T T T"
Al 0.000 0.000 0.000
Ga -0.888 -4.796 -3.699
Y 1.648 -6.183 -2.378
Y 0.400 -11.236 -5.158
Al 1.266 -3.361 -4.221
Ga 0.777 -9.203 -2.850
Al -1.610 -5.760 -1.449
Ga 0.147 -6.079 0.379
Al -0.677 -8.323 -0.887
Al -1.377 -10.637 -2.327
Ga -0.258 -7.919 -6.928
Y -0.511 -2.762 -1.391
Al 1.499 -8.239 -5.099
Al 0.566 -5.675 -5.661
```

Properties
**N(E_F)**: 0.27 states/eV/atom
**Crystal system**: monoclinic
**Magnetization**: 0.00 μB per formula unit
**Symmetry**: C2/m (12)
**Total energy**: -4.5314 eV/atom

***

(3)
Entry from Alexandria via LeMat-Bulk: crystalline Y2AlGa at its relaxed geometry (PBE-GGA).

extended XYZ file:
```
8
Lattice="-1.004 -6.015 5.085 7.857 -0.408 1.069 3.199 -1.065 5.570" Properties=species:S:1:pos:R:3 pbc="T T T"
Ga 2.811 -5.146 6.866
Al 7.241 -2.342 4.858
Al 3.427 -3.211 3.077
Y 1.143 -4.148 4.765
Y 5.597 -1.202 2.636
Y 4.876 -3.202 6.473
Y 8.489 -6.423 9.575
Ga 0.000 0.000 0.000
```

Properties
**N(E_F)**: 0.86 states/eV/atom
**Crystal system**: tetragonal
**Magnetization**: 0.00 μB per formula unit
**Symmetry**: I-42d (122)
**Total energy**: -5.0151 eV/atom

***

(4)
Entry from Alexandria via LeMat-Bulk: crystalline Y3Al2Ga9 at its relaxed geometry (PBE-GGA).

extended XYZ file:
```
14
Lattice="-3.264 -1.644 2.015 3.194 -6.683 4.043 1.177 2.235 8.052" Properties=species:S:1:pos:R:3 pbc="T T T"
Al 0.995 -4.999 6.178
Ga 1.215 -3.681 11.932
Ga 0.666 0.169 5.538
Ga -0.109 -2.411 2.179
Ga 1.571 -3.833 3.740
Ga 0.441 -6.261 8.573
Y -0.821 -2.541 5.241
Ga 1.723 -5.926 10.923
Ga 2.186 -2.224 6.048
Ga -0.616 -0.166 3.188
Y 1.928 -3.551 8.870
Al 0.112 -1.093 7.933
Ga -0.464 -2.259 10.371
Y 0.000 0.000 0.000
```

Properties
**N(E_F)**: 0.32 states/eV/atom
**Crystal system**: orthorhombic
**Magnetization**: 0.00 μB per formula unit
**Symmetry**: Immm (71)
**Total energy**: -4.2987 eV/atom

***

(5)
Entry from Alexandria via LeMat-Bulk: crystalline YAl2Ga at its relaxed geometry (PBE-GGA).

extended XYZ file:
```
4
Lattice="4.332 0.000 0.000 2.166 3.752 0.000 2.166 1.251 5.164" Properties=species:S:1:pos:R:3 pbc="T T T"
Ga 0.000 0.000 0.000
Al 2.166 1.251 0.746
Y 4.332 2.501 2.582
Al 6.498 3.752 4.418
```

Properties
**N(E_F)**: 0.39 states/eV/atom
**Crystal system**: trigonal
**Magnetization**: 0.00 μB per formula unit
**Symmetry**: R-3m (166)
**Total energy**: -4.5094 eV/atom

***

(6)
Entry from Alexandria via LeMat-Bulk: crystalline Y2Al2Ga3 at its relaxed geometry (PBE-GGA).

extended XYZ file:
```
7
Lattice="-4.526 4.219 0.301 -4.549 -0.033 4.206 -0.607 4.172 4.540" Properties=species:S:1:pos:R:3 pbc="T T T"
Al -2.918 2.519 2.727
Y 0.000 0.000 0.000
Ga -2.263 2.110 0.150
Y -4.841 4.179 4.523
Al -6.764 5.838 6.319
Ga -2.274 -0.017 2.103
Ga -0.303 2.086 2.270
```

Properties
**N(E_F)**: 0.42 states/eV/atom
**Crystal system**: trigonal
**Magnetization**: 0.00 μB per formula unit
**Symmetry**: R-3m (166)
**Total energy**: -4.5524 eV/atom

***

(7)
Entry from Alexandria via LeMat-Bulk: crystalline YAlGa4 at its relaxed geometry (PBE-GGA).

extended XYZ file:
```
6
Lattice="5.486 0.000 0.000 2.743 4.751 0.000 2.743 1.584 4.479" Properties=species:S:1:pos:R:3 pbc="T T T"
Y 2.743 1.584 1.120
Ga 4.113 3.959 2.800
Al 0.000 0.000 0.000
Ga 6.858 3.959 2.800
Ga 5.486 1.582 2.800
Ga 5.486 3.167 0.559
```

Properties
**N(E_F)**: 1.01 states/eV/atom
**Crystal system**: cubic
**Magnetization**: 0.00 μB per formula unit
**Symmetry**: F-43m (216)
**Total energy**: -3.9126 eV/atom

***

(8)
Entry from Alexandria via LeMat-Bulk: crystalline Y4AlGa at its relaxed geometry (PBE-GGA).

extended XYZ file:
```
12
Lattice="-0.262 -1.052 5.997 2.142 -7.360 -3.272 5.637 5.863 -0.785" Properties=species:S:1:pos:R:3 pbc="T T T"
Ga 7.705 -1.762 -2.558
Al 2.694 -3.518 0.012
Al 4.823 0.968 1.929
Ga -0.188 -0.787 4.499
Y 2.209 -5.867 3.167
Y 6.093 0.047 -0.782
Y 2.639 -0.345 0.041
Y 1.424 -2.596 2.722
Y 2.002 1.021 3.377
Y 5.515 -3.570 -1.437
Y 4.878 -2.204 1.900
Y 5.308 3.318 -1.227
```

Properties
**N(E_F)**: 1.29 states/eV/atom
**Crystal system**: monoclinic
**Magnetization**: 0.00 μB per formula unit
**Symmetry**: C2/c (15)
**Total energy**: -5.7482 eV/atom

***

> Look up the N(E_F) of the second one.

0.27 states/eV/atom

***

> What is the formula in the second record?

Y3Al7Ga4